Computed, not measured: crystalline LuTh3Fe at its relaxed geometry at the GGA-PBE level of DFT.

```
LuTh3Fe
1.0
5.3033 0.0000 0.0000
0.0000 5.3033 0.0000
0.0000 0.0000 5.3033
Lu Th Fe
1 3 1
direct
0.0000 0.0000 0.0000 Lu
0.0000 0.5000 0.5000 Th
0.5000 0.0000 0.5000 Th
0.5000 0.5000 0.0000 Th
0.5000 0.5000 0.5000 Fe
```

Calculated values
- Space-group type: Pm-3m (221)
- Magnetization: 0.00 μB/cell
- Calculated total energy: -6.979 eV/atom
- Density of states at the Fermi level: 1.870 states/eV/atom